Density functional theory data (PBE) for crystalline ErPu2In9 at its relaxed geometry.

Unit cell a=4.6441 b=4.6441 c=13.9385 alpha=90.00 beta=90.00 gamma=90.00
Each line ends with the local moment (μB).
Fractional coordinates of all 12 atoms:
Er (0.0000, 0.0000, 0.0000)  0.00
In (0.5000, 0.5000, 0.6660)  -0.01
In (0.0000, 0.5000, 0.1658)  0.00
In (0.5000, 0.5000, 0.3340)  -0.01
In (0.5000, 0.5000, 0.0000)  0.00
In (0.0000, 0.5000, 0.5000)  -0.01
In (0.5000, 0.0000, 0.1658)  0.00
In (0.5000, 0.0000, 0.8342)  0.00
In (0.5000, 0.0000, 0.5000)  -0.01
In (0.0000, 0.5000, 0.8342)  0.00
Pu (0.0000, 0.0000, 0.3315)  -5.35
Pu (0.0000, 0.0000, 0.6685)  -5.35

Values from the calculation:
- space-group type = No. 123
- total magnetization (Bohr magnetons per cell) = 11.36
- ΔH_f (0 K) (eV per atom) = -0.281

***

Density functional theory data (PBE) for crystalline HfTeNF2 at its relaxed geometry.

Unit cell a=4.1366 b=4.1366 c=4.4758 alpha=90.00 beta=90.00 gamma=90.00
Fractional coordinates of all 5 atoms:
F (0.0000, 0.5000, 0.0000)
F (0.5000, 0.0000, 0.0000)
Te (0.5000, 0.5000, 0.5000)
Hf (0.0000, 0.0000, 0.0000)
N (0.0000, 0.0000, 0.5000)

Values from the calculation:
- ΔE_f (raw) (eV per atom) = -1.525
- space-group type = No. 123
- total magnetization (Bohr magnetons per cell) = 0.00
- distance to the lowest polymorph of the same formula (meV/atom) = 0

***

Density functional theory data (PBE) for crystalline In2Hg2BiPb2 at its relaxed geometry.

Unit cell a=4.3541 b=6.3148 c=8.9779 alpha=102.13 beta=90.00 gamma=110.17
Fractional coordinates of all 7 atoms:
Hg (0.3390, 0.6780, 0.0150)
Hg (0.6610, 0.3220, 0.9850)
In (0.5571, 0.1142, 0.2600)
In (0.4429, 0.8858, 0.7400)
Pb (0.2791, 0.5582, 0.3569)
Pb (0.7209, 0.4418, 0.6431)
Bi (0.0000, 0.0000, 0.5000)

Values from the calculation:
- space-group type = No. 12
- total magnetization (Bohr magnetons per cell) = 0.00
- ΔH_f (0 K) (eV per atom) = 0.049

***

Density functional theory data (PBE) for crystalline TaSi2Ru at its relaxed geometry.

Unit cell a=2.9449 b=2.9449 c=6.5849 alpha=90.00 beta=90.00 gamma=96.26
Fractional coordinates of all 4 atoms:
Ta (0.5000, 0.5000, 0.2500)
Ru (0.5000, 0.5000, 0.7500)
Si (0.0000, 0.0000, 0.5274)
Si (0.0000, 0.0000, 0.9726)

Values from the calculation:
- ΔE_f (raw) (eV per atom) = -0.399
- space-group type = No. 65
- total magnetization (Bohr magnetons per cell) = 0.00

***

Density functional theory data (PBE) for crystalline Be2TcRh3 at its relaxed geometry.

Unit cell a=2.7682 b=2.7682 c=9.3602 alpha=90.00 beta=90.00 gamma=90.00
Fractional coordinates of all 6 atoms:
Be (0.5000, 0.5000, 0.1464)
Be (0.5000, 0.5000, 0.8536)
Rh (0.0000, 0.0000, 0.3010)
Rh (0.0000, 0.0000, 0.6990)
Rh (0.0000, 0.0000, 0.0000)
Tc (0.5000, 0.5000, 0.5000)

Values from the calculation:
- space-group type = No. 123
- total magnetization (Bohr magnetons per cell) = 0.00
- ΔH_f (0 K) (eV per atom) = -0.445

***

Density functional theory data (PBE) for crystalline Tl3CrRh2Se6 at its relaxed geometry.

Unit cell a=6.6434 b=6.6434 c=7.6745 alpha=98.33 beta=98.33 gamma=119.98
Each line ends with the local moment (μB).
Fractional coordinates of all 12 atoms:
Tl (0.8349, 0.1651, 0.5000)  0.00
Tl (0.1651, 0.8349, 0.5000)  0.00
Tl (0.5000, 0.5000, 0.5000)  0.00
Se (0.7222, 0.7222, 0.1720)  -0.04
Se (0.9418, 0.6062, 0.8262)  -0.04
Se (0.0582, 0.3938, 0.1738)  -0.04
Se (0.6062, 0.9418, 0.8262)  -0.04
Se (0.3938, 0.0582, 0.1738)  -0.04
Se (0.2778, 0.2778, 0.8280)  -0.04
Rh (0.3334, 0.6666, 0.0000)  0.03
Rh (0.6666, 0.3334, 0.0000)  0.03
Cr (0.0000, 0.0000, 0.0000)  2.93

Values from the calculation:
- ΔE_f (raw) (eV per atom) = -0.396
- space-group type = No. 12
- total magnetization (Bohr magnetons per cell) = 2.96

***

Density functional theory data (PBE) for crystalline Sm2HoTm at its relaxed geometry.

Unit cell a=3.5704 b=3.5704 c=11.7486 alpha=81.26 beta=81.26 gamma=60.00
Fractional coordinates of all 4 atoms:
Ho (0.5000, 0.5000, 0.5000)
Sm (0.7496, 0.7496, 0.7511)
Sm (0.2504, 0.2504, 0.2489)
Tm (0.0000, 0.0000, 0.0000)

Values from the calculation:
- space-group type = No. 166
- total magnetization (Bohr magnetons per cell) = 0.00
- ΔH_f (0 K) (eV per atom) = 0.017
- distance to the lowest polymorph of the same formula (meV/atom) = 1

***

Density functional theory data (PBE) for crystalline Ac2GaO at its relaxed geometry.

Unit cell a=3.4725 b=3.4725 c=7.8263 alpha=90.00 beta=90.00 gamma=90.00
Fractional coordinates of all 4 atoms:
O (0.5000, 0.5000, 0.0000)
Ga (0.5000, 0.5000, 0.5000)
Ac (0.0000, 0.0000, 0.2188)
Ac (0.0000, 0.0000, 0.7812)

Values from the calculation:
- ΔE_f (raw) (eV per atom) = -1.085
- space-group type = No. 123
- total magnetization (Bohr magnetons per cell) = 0.00
- distance to the lowest polymorph of the same formula (meV/atom) = 122

***

Density functional theory data (PBE) for crystalline BeVC at its relaxed geometry.

Unit cell a=2.9583 b=4.0343 c=6.3676 alpha=129.15 beta=76.63 gamma=90.00
Fractional coordinates of all 6 atoms:
Be (0.9365, 0.3739, 0.1246)
Be (0.0635, 0.6261, 0.8754)
C (0.3336, 0.5824, 0.3317)
C (0.6664, 0.4176, 0.6683)
V (0.3144, 0.1199, 0.3696)
V (0.6856, 0.8801, 0.6304)

Values from the calculation:
- space-group type = No. 2
- total magnetization (Bohr magnetons per cell) = 0.00
- ΔH_f (0 K) (eV per atom) = -0.202
- distance to the lowest polymorph of the same formula (meV/atom) = 15

***

Density functional theory data (PBE) for crystalline FeW3 at its relaxed geometry.

Unit cell a=2.6923 b=4.4299 c=5.1796 alpha=90.00 beta=80.70 gamma=90.00
Each line ends with the local moment (μB).
Fractional coordinates of all 4 atoms:
W (0.5000, 0.0000, 0.5000)  0.03
W (0.7516, 0.5000, 0.7541)  0.00
W (0.2484, 0.5000, 0.2459)  0.00
Fe (0.0000, 0.0000, 0.0000)  2.34

Values from the calculation:
- space-group type = No. 10
- total magnetization (Bohr magnetons per cell) = 2.35
- ΔH_f (0 K) (eV per atom) = 0.135

***

Density functional theory data (PBE) for crystalline Sm2TlTe3 at its relaxed geometry.

Unit cell a=4.4426 b=4.4426 c=24.1309 alpha=90.00 beta=90.00 gamma=120.00
Fractional coordinates of all 12 atoms:
Sm (0.3333, 0.6667, 0.9235)
Sm (0.6667, 0.3333, 0.0765)
Sm (0.6667, 0.3333, 0.4235)
Sm (0.3333, 0.6667, 0.5765)
Te (0.0000, 0.0000, 0.5000)
Te (0.3333, 0.6667, 0.1518)
Te (0.6667, 0.3333, 0.8482)
Te (0.3333, 0.6667, 0.3482)
Te (0.0000, 0.0000, 0.0000)
Te (0.6667, 0.3333, 0.6518)
Tl (0.0000, 0.0000, 0.7500)
Tl (0.0000, 0.0000, 0.2500)

Values from the calculation:
- ΔE_f (raw) (eV per atom) = -1.173
- space-group type = No. 194
- total magnetization (Bohr magnetons per cell) = 0.00

***

Density functional theory data (PBE) for crystalline NaCa3Rh at its relaxed geometry.

Unit cell a=3.6426 b=7.6183 c=7.6183 alpha=120.04 beta=90.00 gamma=90.00
Fractional coordinates of all 5 atoms:
Ca (0.5000, 0.1491, 0.3559)
Ca (0.0000, 0.1751, 0.8249)
Ca (0.5000, 0.6441, 0.8509)
Rh (0.5000, 0.0223, 0.9777)
Na (0.0000, 0.6374, 0.3626)

Values from the calculation:
- space-group type = No. 38
- total magnetization (Bohr magnetons per cell) = 0.00
- ΔH_f (0 K) (eV per atom) = 0.114
- distance to the lowest polymorph of the same formula (meV/atom) = 318

***

Density functional theory data (PBE) for crystalline Pr2Ga2BRu2 at its relaxed geometry.

Unit cell a=4.3341 b=6.0678 c=6.0942 alpha=75.17 beta=69.17 gamma=69.08
Fractional coordinates of all 7 atoms:
Ga (0.1588, 0.3900, 0.2924)
Ga (0.8412, 0.6100, 0.7076)
B (0.0000, 0.0000, 0.0000)
Ru (0.2057, 0.6818, 0.9069)
Ru (0.7943, 0.3182, 0.0931)
Pr (0.5613, 0.1750, 0.7024)
Pr (0.4387, 0.8250, 0.2976)

Values from the calculation:
- space-group type = No. 12
- total magnetization (Bohr magnetons per cell) = 0.00
- ΔH_f (0 K) (eV per atom) = -0.517

***

Density functional theory data (PBE) for crystalline Pa2BeO6 at its relaxed geometry.

Unit cell a=3.6126 b=5.1629 c=8.0293 alpha=120.27 beta=88.92 gamma=73.87
Fractional coordinates of all 9 atoms:
O (0.0042, 0.4308, 0.2528)
O (0.9958, 0.5692, 0.7472)
O (0.3241, 0.7875, 0.0403)
O (0.7366, 0.0326, 0.3874)
O (0.6759, 0.2125, 0.9597)
O (0.2634, 0.9674, 0.6126)
Pa (0.3896, 0.6931, 0.2788)
Pa (0.6104, 0.3069, 0.7212)
Be (0.0000, 0.0000, 0.0000)

Values from the calculation:
- ΔE_f (raw) (eV per atom) = -3.173
- space-group type = No. 2
- total magnetization (Bohr magnetons per cell) = 0.00